No. 1
Entry from Alexandria: a geometry-optimized AsIrRh2 structure (PBE-GGA).

Cell: 4.685 4.685 2.834 Å, 90.00 90.00 109.04°
Positions (direct):
As (0.000, 0.000, 0.000)
Ir (0.500, 0.500, 0.000)
Rh (0.000, 0.500, 0.500)
Rh (0.500, 0.000, 0.500)

## Properties
- D(E_F): 3.5 states/eV/cell
- Energy of formation: -27 meV/atom

No. 2
Entry from Alexandria: a geometry-optimized PuZn12Cu6 structure (PBE-GGA).

Cell: 6.963 6.963 6.963 Å, 104.69 104.69 104.69°
Positions (direct):
Pu (0.000, 0.000, 0.000)
Zn (0.113, 0.500, 0.887)
Zn (0.113, 0.887, 0.500)
Zn (0.138, 0.395, 0.395)
Zn (0.395, 0.138, 0.395)
Zn (0.395, 0.395, 0.138)
Zn (0.500, 0.113, 0.887)
Zn (0.500, 0.887, 0.113)
Zn (0.605, 0.605, 0.862)
Zn (0.605, 0.862, 0.605)
Zn (0.862, 0.605, 0.605)
Zn (0.887, 0.113, 0.500)
Zn (0.887, 0.500, 0.113)
Cu (0.282, 0.282, 0.703)
Cu (0.282, 0.703, 0.282)
Cu (0.297, 0.718, 0.718)
Cu (0.703, 0.282, 0.282)
Cu (0.718, 0.297, 0.718)
Cu (0.718, 0.718, 0.297)

## Properties
- D(E_F): 16.9 states/eV/cell
- Energy of formation: -12 meV/atom